The following is a GGA-PBE calculation of a geometry-optimized Pr6HgSb2Te3 structure, from Alexandria via LeMat-Bulk.

Unit cell a=4.508 b=9.144 c=10.153 alpha=103.27 beta=102.83 gamma=90.00
Sites, in units of the cell vectors:
Pr  0.336  0.913  0.671
Pr  0.669  0.578  0.338
Pr  0.664  0.087  0.329
Pr  0.000  0.248  0.001
Pr  0.000  0.752  0.999
Pr  0.331  0.422  0.662
Hg  0.500  0.000  0.000
Sb  0.834  0.667  0.668
Sb  0.166  0.333  0.332
Te  0.500  0.500  0.000
Te  0.831  0.167  0.663
Te  0.169  0.833  0.337

Calculated values
DFT total energy = -61.23 eV/cell
Crystal system = monoclinic
Formation energy without anion corrections = -1407 kJ/mol of formula units
Mass density = 7.001 g/cm³